Entry 1:
# Ba3Li5I12 | the Alexandria database | PBE | optimized geometry
# Formation energy without anion corrections, meV per atom: -1359
data_Ba3Li5I12
_chemical_formula_sum 'Ba24 Li40 I96'
_cell_length_a 18.492
_cell_length_b 18.492
_cell_length_c 18.492
_cell_angle_alpha 90.00
_cell_angle_beta 90.00
_cell_angle_gamma 90.00
_space_group_name_H-M_alt 'I a -3 d'
_space_group_IT_number 230
_space_group_name_Hall '-I 4bd 2c 3'
loop_
_atom_site_label
_atom_site_fract_x
_atom_site_fract_y
_atom_site_fract_z
Ba1 0.000 0.250 0.125
Li1 0.000 0.000 0.000
Li2 0.000 0.250 0.375
I1 0.032 0.058 0.650



Entry 2:
# LiGa6Ir | the Alexandria database | PBE | optimized geometry
# Energy relative to the elements, kJ/mol of formula units: -144
data_LiGa6Ir
_chemical_formula_sum 'Li3 Ga18 Ir3'
_cell_length_a 8.5974
_cell_length_b 8.5974
_cell_length_c 7.1440
_cell_angle_alpha 90.00
_cell_angle_beta 90.00
_cell_angle_gamma 120.00
_space_group_name_H-M_alt 'R -3 m'
_space_group_IT_number 166
_space_group_name_Hall '-R 3 2"'
loop_
_atom_site_label
_atom_site_fract_x
_atom_site_fract_y
_atom_site_fract_z
Li1 0.0000 0.0000 0.0000
Ga1 0.0403 0.5201 0.3209
Ir1 0.0000 0.0000 0.5000



Entry 3:
# MgTl2In | the Alexandria database | PBE | optimized geometry
# Energy relative to the elements, kJ/mol of formula units: 8
data_MgTl2In
_chemical_formula_sum 'Mg2 Tl4 In2'
_cell_length_a 3.850
_cell_length_b 5.360
_cell_length_c 10.620
_cell_angle_alpha 90.00
_cell_angle_beta 90.00
_cell_angle_gamma 90.00
_space_group_name_H-M_alt 'I m m m'
_space_group_IT_number 71
_space_group_name_Hall '-I 2 2'
loop_
_atom_site_label
_atom_site_fract_x
_atom_site_fract_y
_atom_site_fract_z
Mg1 0.000 0.000 0.000
Tl1 0.000 0.500 0.259
In1 0.000 0.000 0.500



Entry 4:
# BiRu2IO | the Alexandria database | PBE | optimized geometry
# Formation energy without anion corrections, meV per atom: 1932
data_BiRu2IO
_chemical_formula_sum 'Bi1 Ru2 I1 O1'
_cell_length_a 4.808
_cell_length_b 4.808
_cell_length_c 6.055
_cell_angle_alpha 90.00
_cell_angle_beta 90.00
_cell_angle_gamma 90.00
_space_group_name_H-M_alt 'P 4/m m m'
_space_group_IT_number 123
_space_group_name_Hall '-P 4 2'
loop_
_atom_site_label
_atom_site_fract_x
_atom_site_fract_y
_atom_site_fract_z
Bi1 0.000 0.000 0.000
Ru1 0.000 0.500 0.500
I1 0.000 0.000 0.500
O1 0.500 0.500 0.000



Entry 5:
# PaHRu | the Alexandria database | PBE | optimized geometry
# Distance to the lowest polymorph of the same formula, kJ per mole of atoms: 5.5
data_PaHRu
_chemical_formula_sum 'Pa2 H2 Ru2'
_cell_length_a 3.936
_cell_length_b 4.675
_cell_length_c 5.129
_cell_angle_alpha 89.92
_cell_angle_beta 72.25
_cell_angle_gamma 89.70
_space_group_name_H-M_alt 'P -1'
_space_group_IT_number 2
loop_
_space_group_symop_operation_xyz
'x,y,z'
'-x,-y,-z'
loop_
_atom_site_label
_atom_site_fract_x
_atom_site_fract_y
_atom_site_fract_z
Pa1 0.163 0.250 0.214
H1 0.148 0.749 0.297
Ru1 0.369 0.250 0.698



Entry 6:
# La3HgO | the Alexandria database | PBE | optimized geometry
# Formation energy without anion corrections, meV per atom: -1067
# Distance to the lowest polymorph of the same formula, kJ per mole of atoms: 28.7
data_La3HgO
_chemical_formula_sum 'La12 Hg4 O4'
_cell_length_a 6.946
_cell_length_b 11.742
_cell_length_c 7.621
_cell_angle_alpha 90.00
_cell_angle_beta 90.00
_cell_angle_gamma 90.00
_space_group_name_H-M_alt 'C m c m'
_space_group_IT_number 63
_space_group_name_Hall '-C 2c 2'
loop_
_atom_site_label
_atom_site_fract_x
_atom_site_fract_y
_atom_site_fract_z
La1 0.000 0.000 0.000
La2 0.232 0.266 0.250
Hg1 0.000 0.474 0.750
O1 0.000 0.123 0.750



In the order shown, the computed total moment values come out to 0.000, 0.000, 0.000, 2.998, 0.001, 0.000 μB per formula unit.